<1>
This record from Alexandria via LeMat-Bulk describes an optimized crystal structure of BaCa2Tc. The functional is GGA-PBEsol.

abc: 4.816 4.816 4.963
angles: 90.00 90.00 90.00
Space group P4/mmm (No. 123)
Asymmetric unit:
Ba 0.000 0.000 0.000 [1 per cell]
Ca 0.000 0.500 0.500 [2 per cell]
Tc 0.500 0.500 0.000 [1 per cell]

Properties
- magnetization (μB/cell) = 1.01

***

<2>
This record from Alexandria via LeMat-Bulk describes an optimized crystal structure of BaCa2Tc. The functional is GGA-PBEsol.

abc: 3.6418 3.6418 33.0119
angles: 90.00 90.00 120.00
Space group R3m (No. 160, hexagonal axes)
Asymmetric unit:
Ba 0.0000 0.0000 0.0000 [3 per cell]
Ca 0.0000 0.0000 0.2275 [3 per cell]
Ca 0.0000 0.0000 0.4586 [3 per cell]
Tc 0.0000 0.0000 0.7306 [3 per cell]

Properties
- magnetization (μB/cell) = 0.00

***

Stability ranking, top entry: <2>; the second entry is 70 meV/atom less favorable.

***

<1>
This record from Alexandria via LeMat-Bulk describes an optimized crystal structure of BaCa2Tc. The functional is GGA-PBEsol.

abc: 3.618 3.618 9.701
angles: 90.00 90.00 90.00
Space group P4mm (No. 99)
Asymmetric unit:
Ba 0.000 0.000 0.000 [1 per cell]
Ca 0.000 0.000 0.634 [1 per cell]
Ca 0.500 0.500 0.341 [1 per cell]
Tc 0.500 0.500 0.798 [1 per cell]

Properties
- magnetization (μB/cell) = 0.99

***

<2>
This record from Alexandria via LeMat-Bulk describes an optimized crystal structure of BaCa2Tc. The functional is GGA-PBEsol.

abc: 3.509 3.509 10.385
angles: 90.00 90.00 90.00
Space group P4/mmm (No. 123)
Asymmetric unit:
Ba 0.000 0.000 0.000 [1 per cell]
Ca 0.500 0.500 0.331 [2 per cell]
Tc 0.000 0.000 0.500 [1 per cell]

Properties
- magnetization (μB/cell) = 2.04

***

<3>
This record from Alexandria via LeMat-Bulk describes an optimized crystal structure of BaCa2Tc. The functional is GGA-PBEsol.

abc: 7.675 7.675 7.675
angles: 90.00 90.00 90.00
Space group F-43m (No. 216)
Asymmetric unit:
Ba 0.000 0.000 0.000 [4 per cell]
Ca 0.000 0.000 0.500 [4 per cell]
Ca 0.250 0.250 0.250 [4 per cell]
Tc 0.250 0.250 0.750 [4 per cell]

Properties
- magnetization (μB/cell) = 3.20

***

Stability ranking, top entry: <2>; the second entry is 47 meV/atom less favorable.

***

<1>
This record from Alexandria via LeMat-Bulk describes an optimized crystal structure of BaCaW2. The functional is GGA-PBEsol.

abc: 3.588 4.394 5.460
angles: 90.00 90.00 90.00
Space group Pmmm (No. 47)
Asymmetric unit:
Ba 0.000 0.000 0.000 [1 per cell]
Ca 0.500 0.500 0.000 [1 per cell]
W 0.000 0.500 0.500 [1 per cell]
W 0.500 0.000 0.500 [1 per cell]

Properties
- magnetization (μB/cell) = 0.00

***

<2>
This record from Alexandria via LeMat-Bulk describes an optimized crystal structure of BaCaW2. The functional is GGA-PBEsol.

abc: 3.991 4.084 10.887
angles: 90.00 90.00 90.00
Space group Cmmm (No. 65)
Asymmetric unit:
Ba 0.000 0.000 0.000 [2 per cell]
Ca 0.000 0.000 0.500 [2 per cell]
W 0.000 0.500 0.266 [4 per cell]

Properties
- magnetization (μB/cell) = 0.00

***

Stability ranking, top entry: <2>; the second entry is 20 meV/atom less favorable.

***

<1>
This record from Alexandria via LeMat-Bulk describes an optimized crystal structure of BaCaY2. The functional is GGA-PBEsol.

abc: 5.950 5.950 4.166
angles: 90.00 90.00 90.00
Space group P4/mmm (No. 123)
Asymmetric unit:
Ba 0.000 0.000 0.000 [1 per cell]
Ca 0.500 0.500 0.000 [1 per cell]
Y 0.000 0.500 0.500 [2 per cell]

Properties
- magnetization (μB/cell) = 0.00

***

<2>
This record from Alexandria via LeMat-Bulk describes an optimized crystal structure of BaCaY2. The functional is GGA-PBEsol.

abc: 4.062 5.998 6.056
angles: 90.00 90.00 90.00
Space group Pmmm (No. 47)
Asymmetric unit:
Ba 0.000 0.000 0.000 [1 per cell]
Ca 0.500 0.500 0.000 [1 per cell]
Y 0.000 0.500 0.500 [1 per cell]
Y 0.500 0.000 0.500 [1 per cell]

Properties
- magnetization (μB/cell) = 0.00

***

Stability ranking, top entry: <2>; the second entry is 64 meV/atom less favorable.

***

<1>
This record from Alexandria via LeMat-Bulk describes an optimized crystal structure of BaCaZn2. The functional is GGA-PBEsol.

abc: 7.643 7.643 7.643
angles: 90.00 90.00 90.00
Space group Fm-3m (No. 225)
Asymmetric unit:
Ba 0.000 0.000 0.000 [4 per cell]
Ca 0.000 0.000 0.500 [4 per cell]
Zn 0.250 0.250 0.250 [8 per cell]

Properties
- magnetization (μB/cell) = 0.00

***

<2>
This record from Alexandria via LeMat-Bulk describes an optimized crystal structure of BaCaZn2. The functional is GGA-PBEsol.

abc: 4.4301 4.4301 22.5273
angles: 90.00 90.00 120.00
Space group R3m (No. 160, hexagonal axes)
Asymmetric unit:
Ba 0.0000 0.0000 0.0000 [3 per cell]
Ca 0.0000 0.0000 0.8225 [3 per cell]
Zn 0.0000 0.0000 0.2327 [3 per cell]
Zn 0.0000 0.0000 0.5657 [3 per cell]

Properties
- magnetization (μB/cell) = 0.00

***

Stability ranking, top entry: <2>; the second entry is 24 meV/atom less favorable.

***

<1>
This record from Alexandria via LeMat-Bulk describes an optimized crystal structure of BaCaZn2. The functional is GGA-PBEsol.

abc: 3.676 5.399 10.878
angles: 90.00 90.00 90.00
Space group Imm2 (No. 44)
Asymmetric unit:
Ba 0.000 0.000 0.000 [2 per cell]
Ca 0.000 0.500 0.805 [2 per cell]
Zn 0.000 0.000 0.575 [2 per cell]
Zn 0.000 0.500 0.236 [2 per cell]

Properties
- magnetization (μB/cell) = 0.00

***

<2>
This record from Alexandria via LeMat-Bulk describes an optimized crystal structure of BaCaZn2. The functional is GGA-PBEsol.

abc: 5.426 5.426 3.772
angles: 90.00 90.00 90.00
Space group P4/mmm (No. 123)
Asymmetric unit:
Ba 0.000 0.000 0.000 [1 per cell]
Ca 0.500 0.500 0.000 [1 per cell]
Zn 0.000 0.500 0.500 [2 per cell]

Properties
- magnetization (μB/cell) = 0.00

***

Stability ranking, top entry: <2>; the second entry is 22 meV/atom less favorable.

***

<1>
This record from Alexandria via LeMat-Bulk describes an optimized crystal structure of BaCa2Zn2. The functional is GGA-PBEsol.

abc: 5.180 5.180 11.698
angles: 90.00 90.00 90.00
Space group I4/mmm (No. 139)
Asymmetric unit:
Ba 0.000 0.000 0.000 [2 per cell]
Ca 0.000 0.500 0.250 [4 per cell]
Zn 0.000 0.000 0.397 [4 per cell]

Properties
- magnetization (μB/cell) = 0.00

***

<2>
This record from Alexandria via LeMat-Bulk describes an optimized crystal structure of BaCa2Zn2. The functional is GGA-PBEsol.

abc: 8.268 8.268 4.433
angles: 90.00 90.00 90.00
Space group P4/mbm (No. 127)
Asymmetric unit:
Ba 0.000 0.000 0.000 [2 per cell]
Ca 0.164 0.336 0.500 [4 per cell]
Zn 0.112 0.612 0.000 [4 per cell]

Properties
- magnetization (μB/cell) = 0.00

***

Stability ranking, top entry: <2>; the second entry is 44 meV/atom less favorable.